VASP calculation (PBE) on an optimized crystal structure of La6Y4Er.

a = 5.9240 Å, b = 5.7722 Å, c = 26.3597 Å
α = 90.00°, β = 90.00°, γ = 120.87°
Closest atoms and distances in Å follow each position.
Fractional positions:
La (0.8644, 0.7288, 0.8168)  5 La 3.52-3.90, 4 Y 3.63-3.71, 3 Er 3.76-3.81
La (0.8104, 0.6209, 0.4001)  6 Y 3.43-3.71
La (0.5000, 0.0000, 0.5000)  8 Y 3.31-3.62
La (0.1896, 0.3791, 0.5999)  6 Y 3.43-3.71
La (0.1356, 0.2712, 0.3168)  5 La 3.52-3.90, 4 Y 3.63-3.71, 3 Er 3.76-3.81
La (0.8104, 0.6209, 0.0999)  6 Y 3.43-3.71
Y (0.8443, 0.6886, 0.9544)  8 La 3.55-3.85, 2 Y 3.76-3.91
La (0.5000, 0.0000, 0.0000)  8 Y 3.31-3.62
La (0.4608, 0.9215, 0.2500)  2 Y 3.29, 3 Er 3.36, 2 La 3.67
Y (0.1557, 0.3114, 0.4544)  8 La 3.55-3.85, 2 Y 3.76-3.91
La (0.8644, 0.7288, 0.6832)  5 La 3.52-3.90, 4 Y 3.63-3.71, 3 Er 3.76-3.81
Y (0.4708, 0.9417, 0.3747)  6 La 3.29-3.66
Er (0.7998, 0.5995, 0.2500)  3 La 3.36
La (0.5392, 0.0785, 0.7500)  2 Y 3.29, 3 Er 3.36, 2 La 3.67
La (0.1356, 0.2712, 0.1832)  5 La 3.52-3.90, 4 Y 3.63-3.71, 3 Er 3.76-3.81
Y (0.5292, 0.0583, 0.8747)  6 La 3.29-3.66
Er (0.2002, 0.4005, 0.7500)  3 La 3.36
Y (0.8443, 0.6886, 0.5456)  8 La 3.55-3.85, 2 Y 3.76-3.91
Y (0.5292, 0.0583, 0.6253)  6 La 3.29-3.66
Y (0.1557, 0.3114, 0.0456)  8 La 3.55-3.85, 2 Y 3.76-3.91
La (0.1896, 0.3791, 0.9001)  6 Y 3.43-3.71
Y (0.4708, 0.9417, 0.1253)  6 La 3.29-3.66

Calculated values
- energy relative to the elements (meV per atom) = 105
- total DFT energy (no corrections) (eV per atom) = -5.35
- total magnetic moment (μB/cell) = 0.0
- symmetry = No. 63